No. 1
Fe2IrPd: relaxed, GGA-PBE.

The structure in POSCAR format:
```
Fe2IrPd
1.0
-0.139 -0.389 -2.678
-2.132 -1.636 0.349
-4.558 5.809 -0.608
Ir Fe Pd
1 2 1
direct
0.500 0.500 0.000 Ir
0.000 0.000 0.756 Fe
0.000 0.000 0.244 Fe
0.500 0.500 0.500 Pd
```

***

No. 2
Fe2IrPd: relaxed, GGA-PBE.

The structure in POSCAR format:
```
Fe2IrPd
1.0
3.645 0.000 0.000
0.000 3.870 0.000
0.000 0.000 3.870
Pd Ir Fe
1 1 2
direct
0.500 0.500 0.500 Pd
0.500 0.000 0.000 Ir
0.000 0.500 0.000 Fe
0.000 0.000 0.500 Fe
```

***

No. 3
Fe2Ir2Pd: relaxed, GGA-PBE.

The structure in POSCAR format:
```
Fe2Ir2Pd
1.0
7.213 0.000 0.000
0.000 7.213 0.000
0.000 0.000 2.721
Fe Pd Ir
4 2 4
direct
0.135 0.365 0.000 Fe
0.635 0.135 0.000 Fe
0.365 0.865 0.000 Fe
0.865 0.635 0.000 Fe
0.500 0.500 0.000 Pd
0.000 0.000 0.000 Pd
0.160 0.660 0.500 Ir
0.840 0.340 0.500 Ir
0.340 0.160 0.500 Ir
0.660 0.840 0.500 Ir
```

***

No. 4
Fe3Ir2Pd: relaxed, GGA-PBE.

The structure in POSCAR format:
```
Fe3Ir2Pd
1.0
-1.476 1.715 -1.471
0.707 -1.318 -2.246
-8.771 -6.596 1.108
Ir Fe Pd
2 3 1
direct
0.500 0.500 0.161 Ir
0.500 0.500 0.839 Ir
0.000 0.000 0.000 Fe
0.000 0.000 0.328 Fe
0.000 0.000 0.672 Fe
0.500 0.500 0.500 Pd
```

***

No. 5
FeIrPd: relaxed, GGA-PBE.

The structure in POSCAR format:
```
FeIrPd
1.0
2.726 0.000 0.000
0.000 2.726 0.000
-1.363 -1.363 5.648
Fe Pd Ir
1 1 1
direct
0.329 0.329 0.658 Fe
0.994 0.994 0.989 Pd
0.677 0.677 0.353 Ir
```

***

No. 6
Fe2IrPd: relaxed, GGA-PBE.

The structure in POSCAR format:
```
Fe2IrPd
1.0
3.691 0.000 0.000
0.000 2.697 -0.136
0.000 0.275 5.449
Fe Ir Pd
2 1 1
direct
0.000 0.000 0.763 Fe
0.000 0.000 0.237 Fe
0.500 0.500 0.000 Ir
0.500 0.500 0.500 Pd
```

***

No. 7
FeIrPd: relaxed, GGA-PBE.

The structure in POSCAR format:
```
FeIrPd
1.0
-2.646 0.398 -0.574
0.323 -1.297 -2.388
-2.544 -9.765 4.961
Pd Ir Fe
2 2 2
direct
0.000 0.500 0.907 Pd
0.500 0.000 0.093 Pd
0.000 0.500 0.586 Ir
0.500 0.000 0.414 Ir
0.000 0.500 0.256 Fe
0.500 0.000 0.744 Fe
```

***

No. 8
Fe4Ir15Pd: relaxed, GGA-PBE.

The structure in POSCAR format:
```
Fe4Ir15Pd
1.0
-1.469 3.428 0.911
-2.935 -0.622 -2.394
-9.931 -8.048 14.266
Fe Ir Pd
4 15 1
direct
0.000 0.000 0.201 Fe
0.000 0.000 0.399 Fe
0.000 0.000 0.799 Fe
0.000 0.000 0.601 Fe
0.500 0.500 0.599 Ir
0.000 0.500 0.104 Ir
0.000 0.500 0.699 Ir
0.500 0.000 0.104 Ir
0.500 0.000 0.500 Ir
0.000 0.500 0.500 Ir
0.500 0.000 0.896 Ir
0.500 0.500 0.798 Ir
0.000 0.500 0.301 Ir
0.000 0.500 0.896 Ir
0.500 0.000 0.699 Ir
0.500 0.500 0.000 Ir
0.500 0.500 0.202 Ir
0.500 0.000 0.301 Ir
0.500 0.500 0.401 Ir
0.000 0.000 0.000 Pd
```

***

No. 9
Fe2IrPd: relaxed, GGA-PBE.

The structure in POSCAR format:
```
Fe2IrPd
1.0
4.284 0.000 0.000
2.142 3.710 0.000
2.142 1.237 3.505
Fe Pd Ir
2 1 1
direct
0.000 0.000 0.000 Fe
0.250 0.250 0.249 Fe
0.750 0.750 0.751 Pd
0.500 0.500 0.500 Ir
```

***

No. 10
FeIrPd: relaxed, GGA-PBE.

The structure in POSCAR format:
```
FeIrPd
1.0
2.729 0.000 0.000
-1.365 2.364 0.000
0.000 0.000 6.546
Ir Pd Fe
1 1 1
direct
0.667 0.333 0.349 Ir
0.000 0.000 0.988 Pd
0.333 0.667 0.663 Fe
```

***

No. 11
Fe2IrPd2Pt2: relaxed, GGA-PBE.

The structure in POSCAR format:
```
Fe2IrPd2Pt2
1.0
3.879 0.000 0.000
-1.939 4.293 0.214
0.000 -1.282 6.077
Pt Fe Pd Ir
2 2 2 1
direct
0.143 0.285 0.422 Pt
0.857 0.715 0.578 Pt
0.710 0.420 0.148 Fe
0.290 0.580 0.852 Fe
0.577 0.155 0.731 Pd
0.423 0.845 0.269 Pd
0.000 0.000 0.000 Ir
```

***

No. 12
RbFe2IrPd: relaxed, GGA-PBE.

The structure in POSCAR format:
```
RbFe2IrPd
1.0
4.851 0.000 0.000
0.000 5.003 0.000
0.000 0.000 4.851
Pd Fe Ir Rb
1 2 1 1
direct
0.000 0.000 0.000 Pd
0.000 0.000 0.500 Fe
0.500 0.000 0.000 Fe
0.000 0.500 0.000 Ir
0.500 0.500 0.500 Rb
```

***

| no. | ΔE_f (eV/atom) |
| --- | --- |
| 1 | -0.03 |
| 2 | 0.02 |
| 3 | 0.14 |
| 4 | -0.03 |
| 5 | 0.02 |
| 6 | -0.01 |
| 7 | -0.05 |
| 8 | -0.01 |
| 9 | 0.19 |
| 10 | 0.01 |
| 11 | -0.07 |
| 12 | 1.27 |